First-principles (PBE) data for a relaxed CoNiAg2Pd crystal, as listed in Alexandria.

Unit cell a=4.7365 b=4.7365 c=4.2026 alpha=90.00 beta=90.00 gamma=90.00
With the nearest neighbours (Å) after each atom.
Space group P4/mmm (No. 123)
Asymmetric unit:
Co1 0.0000 0.0000 0.0000  2 Ni 2.10
Ni1 0.0000 0.0000 0.5000  2 Co 2.10
Ag1 0.0000 0.5000 0.0000  2 Co 2.37
Pd1 0.5000 0.5000 0.5000  8 Ag 3.17, 4 Ni 3.35

- Total DFT energy (no corrections): -3.75 eV per atom
- ΔE_f: 1005 meV/atom
- Magnetization: 2.73 μB/cell